Entry 1:
# Ce2ErAg2Hg2, optimized geometry, DFT PBE
# - E_form (eV per atom) = -0.1782
# - total magnetic moment (μB/atom) = 0.31
data_Ce2ErAg2Hg2
_cell_length_a 8.5216
_cell_length_b 8.5216
_cell_length_c 8.5216
_cell_angle_alpha 33.15
_cell_angle_beta 33.15
_cell_angle_gamma 33.15
_symmetry_space_group_name_H-M 'P 1'
_symmetry_Int_Tables_number 1
_symmetry_space_group_name_Hall 'P 1'
loop_
_atom_site_label
_atom_site_type_symbol
_atom_site_fract_x
_atom_site_fract_y
_atom_site_fract_z
_atom_site_occupancy
Ce1 Ce 0.1415 0.1415 0.1415 1
Ce2 Ce 0.8585 0.8585 0.8585 1
Er1 Er 0.0000 0.0000 0.0000 1
Ag1 Ag 0.4130 0.4130 0.4130 1
Ag2 Ag 0.5870 0.5870 0.5870 1
Hg1 Hg 0.2747 0.2747 0.2747 1
Hg2 Hg 0.7253 0.7253 0.7253 1



Entry 2:
# LaCeErAg, optimized geometry, DFT PBE
# - E_form (eV per atom) = 0.1186
# - total magnetic moment (μB/atom) = 0.72
data_LaCeErAg
_cell_length_a 7.5972
_cell_length_b 7.5972
_cell_length_c 7.5972
_cell_angle_alpha 90.00
_cell_angle_beta 90.00
_cell_angle_gamma 90.00
_symmetry_space_group_name_H-M 'P 1'
_symmetry_Int_Tables_number 1
_symmetry_space_group_name_Hall 'P 1'
loop_
_atom_site_label
_atom_site_type_symbol
_atom_site_fract_x
_atom_site_fract_y
_atom_site_fract_z
_atom_site_occupancy
La1 La 0.0000 0.0000 0.0000 1
La2 La 0.0000 0.5000 0.5000 1
La3 La 0.5000 0.0000 0.5000 1
La4 La 0.5000 0.5000 0.0000 1
Ce1 Ce 0.2500 0.2500 0.7500 1
Ce2 Ce 0.2500 0.7500 0.2500 1
Ce3 Ce 0.7500 0.2500 0.2500 1
Ce4 Ce 0.7500 0.7500 0.7500 1
Er1 Er 0.0000 0.0000 0.5000 1
Er2 Er 0.0000 0.5000 0.0000 1
Er3 Er 0.5000 0.0000 0.0000 1
Er4 Er 0.5000 0.5000 0.5000 1
Ag1 Ag 0.2500 0.2500 0.2500 1
Ag2 Ag 0.2500 0.7500 0.7500 1
Ag3 Ag 0.7500 0.2500 0.7500 1
Ag4 Ag 0.7500 0.7500 0.2500 1



Entry 3:
# CeErLuAg, optimized geometry, DFT PBE
# - E_form (eV per atom) = 0.1377
# - total magnetic moment (μB/atom) = 0.00
data_CeErLuAg
_cell_length_a 7.3565
_cell_length_b 7.3565
_cell_length_c 7.3565
_cell_angle_alpha 90.00
_cell_angle_beta 90.00
_cell_angle_gamma 90.00
_symmetry_space_group_name_H-M 'P 1'
_symmetry_Int_Tables_number 1
_symmetry_space_group_name_Hall 'P 1'
loop_
_atom_site_label
_atom_site_type_symbol
_atom_site_fract_x
_atom_site_fract_y
_atom_site_fract_z
_atom_site_occupancy
Ce1 Ce 0.0000 0.0000 0.0000 1
Ce2 Ce 0.0000 0.5000 0.5000 1
Ce3 Ce 0.5000 0.0000 0.5000 1
Ce4 Ce 0.5000 0.5000 0.0000 1
Er1 Er 0.2500 0.2500 0.2500 1
Er2 Er 0.2500 0.7500 0.7500 1
Er3 Er 0.7500 0.2500 0.7500 1
Er4 Er 0.7500 0.7500 0.2500 1
Lu1 Lu 0.2500 0.2500 0.7500 1
Lu2 Lu 0.2500 0.7500 0.2500 1
Lu3 Lu 0.7500 0.2500 0.2500 1
Lu4 Lu 0.7500 0.7500 0.7500 1
Ag1 Ag 0.0000 0.0000 0.5000 1
Ag2 Ag 0.0000 0.5000 0.0000 1
Ag3 Ag 0.5000 0.0000 0.0000 1
Ag4 Ag 0.5000 0.5000 0.5000 1



Entry 4:
# CeErMgAg, optimized geometry, DFT PBE
# - E_form (eV per atom) = -0.0311
# - total magnetic moment (μB/atom) = 0.28
data_CeErMgAg
_cell_length_a 7.4747
_cell_length_b 7.4747
_cell_length_c 7.4747
_cell_angle_alpha 90.00
_cell_angle_beta 90.00
_cell_angle_gamma 90.00
_symmetry_space_group_name_H-M 'P 1'
_symmetry_Int_Tables_number 1
_symmetry_space_group_name_Hall 'P 1'
loop_
_atom_site_label
_atom_site_type_symbol
_atom_site_fract_x
_atom_site_fract_y
_atom_site_fract_z
_atom_site_occupancy
Ce1 Ce 0.0000 0.0000 0.0000 1
Ce2 Ce 0.0000 0.5000 0.5000 1
Ce3 Ce 0.5000 0.0000 0.5000 1
Ce4 Ce 0.5000 0.5000 0.0000 1
Er1 Er 0.0000 0.0000 0.5000 1
Er2 Er 0.0000 0.5000 0.0000 1
Er3 Er 0.5000 0.0000 0.0000 1
Er4 Er 0.5000 0.5000 0.5000 1
Mg1 Mg 0.2500 0.2500 0.2500 1
Mg2 Mg 0.2500 0.7500 0.7500 1
Mg3 Mg 0.7500 0.2500 0.7500 1
Mg4 Mg 0.7500 0.7500 0.2500 1
Ag1 Ag 0.2500 0.2500 0.7500 1
Ag2 Ag 0.2500 0.7500 0.2500 1
Ag3 Ag 0.7500 0.2500 0.2500 1
Ag4 Ag 0.7500 0.7500 0.7500 1



Entry 5:
# CeErMnAg, optimized geometry, DFT PBE
# - E_form (eV per atom) = 0.0513
# - total magnetic moment (μB/atom) = 0.47
data_CeErMnAg
_cell_length_a 7.1686
_cell_length_b 7.1686
_cell_length_c 7.1686
_cell_angle_alpha 90.00
_cell_angle_beta 90.00
_cell_angle_gamma 90.00
_symmetry_space_group_name_H-M 'P 1'
_symmetry_Int_Tables_number 1
_symmetry_space_group_name_Hall 'P 1'
loop_
_atom_site_label
_atom_site_type_symbol
_atom_site_fract_x
_atom_site_fract_y
_atom_site_fract_z
_atom_site_occupancy
Ce1 Ce 0.0000 0.0000 0.0000 1
Ce2 Ce 0.0000 0.5000 0.5000 1
Ce3 Ce 0.5000 0.0000 0.5000 1
Ce4 Ce 0.5000 0.5000 0.0000 1
Er1 Er 0.0000 0.0000 0.5000 1
Er2 Er 0.0000 0.5000 0.0000 1
Er3 Er 0.5000 0.0000 0.0000 1
Er4 Er 0.5000 0.5000 0.5000 1
Mn1 Mn 0.2500 0.2500 0.2500 1
Mn2 Mn 0.2500 0.7500 0.7500 1
Mn3 Mn 0.7500 0.2500 0.7500 1
Mn4 Mn 0.7500 0.7500 0.2500 1
Ag1 Ag 0.2500 0.2500 0.7500 1
Ag2 Ag 0.2500 0.7500 0.2500 1
Ag3 Ag 0.7500 0.2500 0.2500 1
Ag4 Ag 0.7500 0.7500 0.7500 1



Entry 6:
# CeNdErAg, optimized geometry, DFT PBE
# - E_form (eV per atom) = 0.1350
# - total magnetic moment (μB/atom) = 0.72
data_CeNdErAg
_cell_length_a 7.5601
_cell_length_b 7.5601
_cell_length_c 7.5601
_cell_angle_alpha 90.00
_cell_angle_beta 90.00
_cell_angle_gamma 90.00
_symmetry_space_group_name_H-M 'P 1'
_symmetry_Int_Tables_number 1
_symmetry_space_group_name_Hall 'P 1'
loop_
_atom_site_label
_atom_site_type_symbol
_atom_site_fract_x
_atom_site_fract_y
_atom_site_fract_z
_atom_site_occupancy
Ce1 Ce 0.0000 0.0000 0.0000 1
Ce2 Ce 0.0000 0.5000 0.5000 1
Ce3 Ce 0.5000 0.0000 0.5000 1
Ce4 Ce 0.5000 0.5000 0.0000 1
Nd1 Nd 0.2500 0.2500 0.2500 1
Nd2 Nd 0.2500 0.7500 0.7500 1
Nd3 Nd 0.7500 0.2500 0.7500 1
Nd4 Nd 0.7500 0.7500 0.2500 1
Er1 Er 0.2500 0.2500 0.7500 1
Er2 Er 0.2500 0.7500 0.2500 1
Er3 Er 0.7500 0.2500 0.2500 1
Er4 Er 0.7500 0.7500 0.7500 1
Ag1 Ag 0.0000 0.0000 0.5000 1
Ag2 Ag 0.0000 0.5000 0.0000 1
Ag3 Ag 0.5000 0.0000 0.0000 1
Ag4 Ag 0.5000 0.5000 0.5000 1



Entry 7:
# CeErNiAg, optimized geometry, DFT PBE
# - E_form (eV per atom) = -0.1958
# - total magnetic moment (μB/atom) = 0.18
data_CeErNiAg
_cell_length_a 7.0867
_cell_length_b 7.0867
_cell_length_c 7.0867
_cell_angle_alpha 90.00
_cell_angle_beta 90.00
_cell_angle_gamma 90.00
_symmetry_space_group_name_H-M 'P 1'
_symmetry_Int_Tables_number 1
_symmetry_space_group_name_Hall 'P 1'
loop_
_atom_site_label
_atom_site_type_symbol
_atom_site_fract_x
_atom_site_fract_y
_atom_site_fract_z
_atom_site_occupancy
Ce1 Ce 0.0000 0.0000 0.0000 1
Ce2 Ce 0.0000 0.5000 0.5000 1
Ce3 Ce 0.5000 0.0000 0.5000 1
Ce4 Ce 0.5000 0.5000 0.0000 1
Er1 Er 0.0000 0.0000 0.5000 1
Er2 Er 0.0000 0.5000 0.0000 1
Er3 Er 0.5000 0.0000 0.0000 1
Er4 Er 0.5000 0.5000 0.5000 1
Ni1 Ni 0.2500 0.2500 0.7500 1
Ni2 Ni 0.2500 0.7500 0.2500 1
Ni3 Ni 0.7500 0.2500 0.2500 1
Ni4 Ni 0.7500 0.7500 0.7500 1
Ag1 Ag 0.2500 0.2500 0.2500 1
Ag2 Ag 0.2500 0.7500 0.7500 1
Ag3 Ag 0.7500 0.2500 0.7500 1
Ag4 Ag 0.7500 0.7500 0.2500 1



Entry 8:
# CeEr4AgS8, optimized geometry, DFT PBE
# - uncorrected formation energy (eV/atom) = -1.794
# - total magnetic moment (μB/atom) = 0.07
data_CeEr4AgS8
_cell_length_a 8.0923
_cell_length_b 8.0923
_cell_length_c 8.0923
_cell_angle_alpha 58.94
_cell_angle_beta 58.94
_cell_angle_gamma 58.94
_symmetry_space_group_name_H-M 'P 1'
_symmetry_Int_Tables_number 1
_symmetry_space_group_name_Hall 'P 1'
loop_
_atom_site_label
_atom_site_type_symbol
_atom_site_fract_x
_atom_site_fract_y
_atom_site_fract_z
_atom_site_occupancy
Ce1 Ce 0.0000 0.0000 0.0000 1
Er1 Er 0.3766 0.3766 0.3766 1
Er2 Er 0.5163 0.9989 0.9989 1
Er3 Er 0.9989 0.5163 0.9989 1
Er4 Er 0.9989 0.9989 0.5163 1
Ag1 Ag 0.6308 0.6308 0.6308 1
S1 S 0.2310 0.7558 0.7558 1
S2 S 0.2446 0.2446 0.2446 1
S3 S 0.2521 0.2521 0.7744 1
S4 S 0.2521 0.7744 0.2521 1
S5 S 0.7558 0.2310 0.7558 1
S6 S 0.7558 0.7558 0.2310 1
S7 S 0.7619 0.7619 0.7619 1
S8 S 0.7744 0.2521 0.2521 1



> Which formula does entry 3 have?

CeErLuAg



> Number 7 is which compound?

CeErNiAg